(1)
## K2BaSr (PBE)

Data for crystalline K2BaSr at its relaxed geometry.

Properties
The calculation puts the energy of formation at 0.092 eV/atom. The symmetry is R-3m (166). For the magnetization, the calculation gives 0.0 μB/f.u.

Cell: 15.471 15.471 15.471 Å, 16.48 16.48 16.48°
Positions (direct):
K (0.501, 0.501, 0.501)
K (0.999, 0.999, 0.999)
Sr (0.250, 0.250, 0.250)
Ba (0.750, 0.750, 0.750)

=====

(2)
## Li2Ga2Ir (PBE)

Data for crystalline Li2Ga2Ir at its relaxed geometry.

Properties
The energy above the most stable polymorph in this dataset comes out at 0 meV per atom. The calculation puts the energy of formation at -0.412 eV/atom. The symmetry is Cmcm (63). For the magnetization, the calculation gives 0.0 μB/f.u.

Cell: 4.317 4.164 8.333 Å, 90.00 105.01 90.00°
Positions (direct):
Li (0.844, 0.427, 0.688)
Li (0.943, 0.927, 0.886)
Li (0.156, 0.927, 0.312)
Li (0.057, 0.427, 0.114)
Ga (0.442, 0.427, 0.883)
Ga (0.558, 0.927, 0.117)
Ga (0.754, 0.927, 0.509)
Ga (0.246, 0.427, 0.491)
Ir (0.343, 0.927, 0.686)
Ir (0.657, 0.427, 0.314)

=====

(3)
## MgTa2Si (PBE)

Data for crystalline MgTa2Si at its relaxed geometry.

Properties
The value obtained for the raw formation energy is 31 meV/atom. The symmetry is P4mm (99). For the magnetization, the calculation gives 0.0 μB/f.u.

Cell: 3.464 3.464 5.869 Å, 90.00 90.00 90.00°
Positions (direct):
Mg (0.000, 0.000, 0.511)
Ta (0.500, 0.500, 0.228)
Ta (0.000, 0.000, 0.004)
Si (0.500, 0.500, 0.757)

=====

(4)
## ScMoCl2 (PBE)

Data for crystalline ScMoCl2 at its relaxed geometry.

Properties
The energy above the most stable polymorph in this dataset comes out at 440 meV per atom. The value obtained for the raw formation energy is -370 meV/atom. The symmetry is Cm (8). For the magnetization, the calculation gives 1.0 μB/f.u.

Cell: 5.397 5.397 5.606 Å, 89.64 89.64 34.60°
Positions (direct):
Cl (0.733, 0.733, 0.757)
Cl (0.962, 0.962, 0.181)
Sc (0.223, 0.223, 0.136)
Mo (0.583, 0.583, 0.425)

=====

(5)
## DyNb2S (PBE)

Data for crystalline DyNb2S at its relaxed geometry.

Properties
The value obtained for the raw formation energy is 83 meV/atom. The symmetry is R-3m (166). For the magnetization, the calculation gives 0.0 μB/f.u.

Cell: 3.463 3.463 8.671 Å, 78.48 78.48 60.00°
Positions (direct):
S (0.500, 0.500, 0.500)
Nb (0.114, 0.114, 0.658)
Nb (0.886, 0.886, 0.342)
Dy (0.000, 0.000, 0.000)

=====

(6)
## La4Mg5Co2 (PBE)

Data for crystalline La4Mg5Co2 at its relaxed geometry.

Properties
The calculation puts the energy of formation at -0.084 eV/atom. The symmetry is P2/m (10). For the magnetization, the calculation gives 0.0 μB/f.u.

Cell: 3.716 8.133 9.847 Å, 94.49 90.00 90.00°
Positions (direct):
La (0.500, 0.167, 0.835)
La (0.500, 0.799, 0.552)
La (0.500, 0.833, 0.165)
La (0.500, 0.201, 0.448)
Mg (0.000, 0.500, 0.000)
Mg (0.000, 0.182, 0.149)
Mg (0.000, 0.455, 0.672)
Mg (0.000, 0.545, 0.328)
Mg (0.000, 0.818, 0.851)
Co (0.000, 0.921, 0.358)
Co (0.000, 0.079, 0.642)

=====

(7)
## Cs2YGeS4 (PBE)

Data for crystalline Cs2YGeS4 at its relaxed geometry.

Properties
The value obtained for the raw formation energy is -1106 meV/atom. The symmetry is Fddd (70). For the magnetization, the calculation gives 0.0 μB/f.u.

Cell: 6.583 8.055 13.292 Å, 84.19 75.66 65.88°
Positions (direct):
S (0.316, 0.813, 0.098)
S (0.227, 0.187, 0.902)
S (0.586, 0.187, 0.098)
S (0.434, 0.687, 0.402)
S (0.164, 0.313, 0.402)
S (0.523, 0.313, 0.598)
S (0.879, 0.687, 0.598)
S (0.871, 0.813, 0.902)
Cs (0.930, 0.500, 0.140)
Cs (0.180, 0.000, 0.640)
Cs (0.820, 0.000, 0.360)
Cs (0.570, 0.500, 0.860)
Y (0.000, 0.000, 0.000)
Y (0.750, 0.500, 0.500)
Ge (0.500, 0.000, 0.000)
Ge (0.250, 0.500, 0.500)

=====

(8)
## CaPrHgIr (PBE)

Data for crystalline CaPrHgIr at its relaxed geometry.

Properties
The calculation puts the energy of formation at -0.414 eV/atom. The symmetry is F-43m (216). For the magnetization, the calculation gives 0.0 μB/f.u.

Cell: 5.158 5.158 5.158 Å, 60.00 60.00 60.00°
Positions (direct):
Hg (0.250, 0.250, 0.250)
Ir (0.750, 0.750, 0.750)
Pr (0.500, 0.500, 0.500)
Ca (0.000, 0.000, 0.000)

=====

(9)
## Tb5PbSe5 (PBE)

Data for crystalline Tb5PbSe5 at its relaxed geometry.

Properties
The value obtained for the raw formation energy is -1602 meV/atom. The symmetry is C2/m (12). For the magnetization, the calculation gives 0.0 μB/f.u.

Cell: 5.903 8.346 7.198 Å, 106.59 114.20 90.00°
Positions (direct):
Se (0.000, 0.500, 0.000)
Se (0.335, 0.665, 0.670)
Se (0.665, 0.335, 0.330)
Se (0.329, 0.162, 0.658)
Se (0.671, 0.838, 0.342)
Tb (0.166, 0.821, 0.332)
Tb (0.500, 0.000, 0.000)
Tb (0.831, 0.657, 0.663)
Tb (0.169, 0.343, 0.337)
Tb (0.834, 0.179, 0.668)
Pb (0.000, 0.000, 0.000)

=====

(10)
## SrNpNi4 (PBE)

Data for crystalline SrNpNi4 at its relaxed geometry.

Properties
The calculation puts the energy of formation at 0.075 eV/atom. The symmetry is F-43m (216). For the magnetization, the calculation gives 3.3 μB/f.u.

Cell: 5.140 5.140 5.140 Å, 60.00 60.00 60.00°
Positions (direct):
Ni (0.623, 0.623, 0.130)
Ni (0.623, 0.130, 0.623)
Ni (0.623, 0.623, 0.623)
Ni (0.130, 0.623, 0.623)
Np (0.250, 0.250, 0.250)
Sr (0.000, 0.000, 0.000)

=====

(11)
## RbOs2O8 (PBE)

Data for crystalline RbOs2O8 at its relaxed geometry.

Properties
The energy above the most stable polymorph in this dataset comes out at 0 meV per atom. The value obtained for the raw formation energy is -1160 meV/atom. The symmetry is C2/m (12). For the magnetization, the calculation gives 1.1 μB/f.u.

Cell: 7.690 7.690 7.711 Å, 89.72 60.10 119.67°
Positions (direct):
Os (0.501, 0.749, 0.749)
Os (0.499, 0.251, 0.251)
O (0.316, 0.842, 0.841)
O (0.684, 0.158, 0.159)
O (0.317, 0.473, 0.842)
O (0.686, 0.842, 0.473)
O (0.314, 0.159, 0.158)
O (0.686, 0.841, 0.842)
O (0.314, 0.158, 0.527)
O (0.683, 0.527, 0.158)
Rb (0.000, 0.000, 0.000)

=====

(12)
## YThNpO6 (PBE)

Data for crystalline YThNpO6 at its relaxed geometry.

Properties
The value obtained for the raw formation energy is -3311 meV/atom. The symmetry is P-31c (163). For the magnetization, the calculation gives 2.0 μB/f.u.

Cell: 5.797 5.797 9.741 Å, 90.00 90.00 120.00°
Positions (direct):
Np (0.667, 0.333, 0.250)
Np (0.333, 0.667, 0.750)
Th (0.000, 0.000, 0.000)
Th (0.000, 0.000, 0.500)
O (0.651, 0.982, 0.866)
O (0.331, 0.982, 0.634)
O (0.651, 0.669, 0.634)
O (0.982, 0.651, 0.366)
O (0.018, 0.669, 0.866)
O (0.669, 0.651, 0.134)
O (0.982, 0.331, 0.134)
O (0.669, 0.018, 0.366)
O (0.349, 0.018, 0.134)
O (0.331, 0.349, 0.866)
O (0.018, 0.349, 0.634)
O (0.349, 0.331, 0.366)
Y (0.333, 0.667, 0.250)
Y (0.667, 0.333, 0.750)

=====

(13)
## CsRbHg2Au (PBE)

Data for crystalline CsRbHg2Au at its relaxed geometry.

Properties
The energy above the most stable polymorph in this dataset comes out at 0 meV per atom. The calculation puts the energy of formation at -0.264 eV/atom. The symmetry is Imm2 (44). For the magnetization, the calculation gives 0.0 μB/f.u.

Cell: 5.077 5.014 9.209 Å, 105.80 106.00 90.00°
Positions (direct):
Hg (0.747, 0.247, 0.495)
Hg (0.016, 0.016, 0.031)
Au (0.842, 0.842, 0.684)
Cs (0.421, 0.421, 0.842)
Rb (0.186, 0.686, 0.372)

=====

(14)
## ErTiGaAg (PBE)

Data for crystalline ErTiGaAg at its relaxed geometry.

Properties
The calculation puts the energy of formation at -0.241 eV/atom. The symmetry is F-43m (216). For the magnetization, the calculation gives 1.3 μB/f.u.

Cell: 4.830 4.830 4.830 Å, 60.00 60.00 60.00°
Positions (direct):
Ti (0.250, 0.250, 0.250)
Ga (0.000, 0.000, 0.000)
Er (0.750, 0.750, 0.750)
Ag (0.500, 0.500, 0.500)

=====

(15)
## Ba6BiN2 (PBE)

Data for crystalline Ba6BiN2 at its relaxed geometry.

Properties
The value obtained for the raw formation energy is -462 meV/atom. The symmetry is C2/c (15). For the magnetization, the calculation gives 0.0 μB/f.u.

Cell: 7.344 10.524 10.524 Å, 83.67 77.09 77.09°
Positions (direct):
Ba (0.350, 0.845, 0.620)
Ba (0.254, 0.024, 0.220)
Ba (0.754, 0.220, 0.024)
Ba (0.409, 0.471, 0.731)
Ba (0.746, 0.976, 0.780)
Ba (0.246, 0.780, 0.976)
Ba (0.909, 0.731, 0.471)
Ba (0.850, 0.620, 0.845)
Ba (0.091, 0.269, 0.529)
Ba (0.650, 0.155, 0.380)
Ba (0.591, 0.529, 0.269)
Ba (0.150, 0.380, 0.155)
N (0.821, 0.314, 0.212)
N (0.179, 0.686, 0.788)
N (0.679, 0.788, 0.686)
N (0.321, 0.212, 0.314)
Bi (0.250, 0.151, 0.849)
Bi (0.750, 0.849, 0.151)

=====

(16)
## Li2HfVSe (PBE)

Data for crystalline Li2HfVSe at its relaxed geometry.

Properties
The value obtained for the raw formation energy is 1202 meV/atom. The symmetry is P4/mmm (123). For the magnetization, the calculation gives 0.9 μB/f.u.

Cell: 5.136 4.529 5.136 Å, 90.00 90.00 90.00°
Positions (direct):
V (0.000, 0.500, 0.000)
Se (0.500, 0.500, 0.500)
Li (0.500, 0.000, 0.000)
Li (0.000, 0.000, 0.500)
Hf (0.000, 0.000, 0.000)

=====

(17)
## Li2HoAu3 (PBE)

Data for crystalline Li2HoAu3 at its relaxed geometry.

Properties
The energy above the most stable polymorph in this dataset comes out at 0 meV per atom. The calculation puts the energy of formation at -0.666 eV/atom. The symmetry is P-3m1 (164). For the magnetization, the calculation gives 0.0 μB/f.u.

Cell: 4.550 4.550 12.469 Å, 90.00 90.00 120.00°
Positions (direct):
Ho (0.333, 0.667, 0.680)
Ho (0.667, 0.333, 0.320)
Au (0.333, 0.667, 0.438)
Au (0.000, 0.000, 0.209)
Au (0.667, 0.333, 0.562)
Au (0.000, 0.000, 0.791)
Au (0.667, 0.333, 0.077)
Au (0.333, 0.667, 0.923)
Li (0.333, 0.667, 0.143)
Li (0.667, 0.333, 0.857)
Li (0.000, 0.000, 0.500)
Li (0.000, 0.000, 0.000)

=====

(18)
## AsPdAu (PBE)

Data for crystalline AsPdAu at its relaxed geometry.

Properties
The calculation puts the energy of formation at 0.001 eV/atom. The symmetry is Amm2 (38). For the magnetization, the calculation gives 0.0 μB/f.u.

Cell: 3.029 3.032 13.067 Å, 90.00 90.00 119.97°
Positions (direct):
Pd (0.444, 0.887, 0.000)
Pd (0.445, 0.890, 0.500)
As (0.111, 0.222, 0.157)
As (0.111, 0.222, 0.843)
Au (0.778, 0.556, 0.329)
Au (0.778, 0.556, 0.671)

=====

(19)
## GdThIrPd (PBE)

Data for crystalline GdThIrPd at its relaxed geometry.

Properties
The calculation puts the energy of formation at -0.772 eV/atom. The symmetry is F-43m (216). For the magnetization, the calculation gives 7.2 μB/f.u.

Cell: 5.031 5.031 5.031 Å, 60.00 60.00 60.00°
Positions (direct):
Pd (0.750, 0.750, 0.750)
Ir (0.250, 0.250, 0.250)
Gd (0.500, 0.500, 0.500)
Th (0.000, 0.000, 0.000)

=====

(20)
## NaH2S2O4 (PBE)

Data for crystalline NaH2S2O4 at its relaxed geometry.

Properties
The symmetry is C2 (5). The total energy comes out at -0.1922 hartree per atom. For the magnetization, the calculation gives 0.0 μB/f.u.

Cell: 8.250 8.250 5.427 Å, 77.04 77.04 46.17°
Positions (direct):
H (0.664, 0.528, 0.241)
H (0.673, 0.530, 0.946)
H (0.470, 0.327, 0.054)
H (0.472, 0.336, 0.759)
O (0.381, 0.995, 0.320)
O (0.537, 0.651, 0.608)
O (0.756, 0.503, 0.078)
O (0.005, 0.619, 0.680)
O (0.001, 0.640, 0.221)
O (0.360, 0.999, 0.779)
O (0.349, 0.463, 0.392)
O (0.497, 0.244, 0.922)
S (0.369, 0.899, 0.578)
S (0.101, 0.631, 0.422)
S (0.983, 0.966, 0.346)
S (0.034, 0.017, 0.654)
Na (0.685, 0.856, 0.982)
Na (0.144, 0.315, 0.018)

=====

(21)
## CsBaFe2Cl8 (PBE)

Data for crystalline CsBaFe2Cl8 at its relaxed geometry.

Properties
The value obtained for the raw formation energy is -1432 meV/atom. The symmetry is C2/m (12). For the magnetization, the calculation gives 9.0 μB/f.u.

Cell: 6.605 6.605 10.990 Å, 85.07 85.07 69.15°
Positions (direct):
Cl (0.773, 0.280, 0.773)
Cl (0.280, 0.773, 0.773)
Cl (0.685, 0.685, 0.400)
Cl (0.720, 0.227, 0.227)
Cl (0.227, 0.720, 0.227)
Cl (0.712, 0.712, 0.045)
Cl (0.288, 0.288, 0.955)
Cl (0.315, 0.315, 0.600)
Cs (0.000, 0.000, 0.500)
Ba (0.000, 0.000, 0.000)
Fe (0.595, 0.595, 0.229)
Fe (0.405, 0.405, 0.771)

=====

(22)
## Pa2GeAu3 (PBE)

Data for crystalline Pa2GeAu3 at its relaxed geometry.

Properties
The calculation puts the energy of formation at -0.235 eV/atom. The symmetry is Imm2 (44). For the magnetization, the calculation gives 1.4 μB/f.u.

Cell: 4.106 3.999 8.842 Å, 103.07 103.43 90.00°
Positions (direct):
Au (0.541, 0.541, 0.083)
Au (0.700, 0.700, 0.400)
Au (0.302, 0.802, 0.605)
Pa (0.881, 0.381, 0.762)
Pa (0.121, 0.121, 0.243)
Ge (0.454, 0.954, 0.908)

=====

(23)
## Pr8Ni2Ge (PBE)

Data for crystalline Pr8Ni2Ge at its relaxed geometry.

Properties
The calculation puts the energy of formation at -0.136 eV/atom. The symmetry is Cm (8). For the magnetization, the calculation gives 0.0 μB/f.u.

Cell: 6.096 7.879 7.879 Å, 114.94 98.28 98.28°
Positions (direct):
Pr (0.581, 0.341, 0.083)
Pr (0.370, 0.919, 0.654)
Pr (0.980, 0.219, 0.769)
Pr (0.980, 0.769, 0.219)
Pr (0.808, 0.644, 0.644)
Pr (0.581, 0.083, 0.341)
Pr (0.370, 0.654, 0.919)
Pr (0.184, 0.382, 0.382)
Ni (0.501, 0.702, 0.309)
Ni (0.501, 0.309, 0.702)
Ge (0.143, 0.011, 0.011)

=====

Values for V, A^3/atom, ordered as above
64.99; 14.47; 17.61; 23.18; 21.91; 26.97; 38.96; 24.26; 27.93; 16.00; 29.42; 15.75; 43.22; 19.92; 42.85; 23.89; 18.63; 17.33; 22.51; 14.36; 37.14; 22.89; 30.06